No. 1
{
  "formula": "Tb6Nd2Sm",
  "functional": "GGA-PBE",
  "state": "optimized geometry",
  "cell": [[6.1318, -0.1103, -0.1068], [1.1601, 9.9570, 1.5166], [1.1601, 1.8384, 9.9026]],
  "species": ["Tb", "Tb", "Tb", "Tb", "Tb", "Tb", "Tb", "Tb", "Tb", "Tb", "Tb", "Tb", "Nd", "Nd", "Nd", "Nd", "Sm", "Sm"],
  "frac_coords": [[0.4851, 0.6866, 0.4081], [0.0149, 0.5919, 0.3134], [0.5149, 0.3134, 0.5919], [0.9851, 0.4081, 0.6866], [0.6493, 0.0752, 0.3502], [0.8507, 0.6498, 0.9248], [0.3507, 0.9248, 0.6498], [0.1493, 0.3502, 0.0752], [0.3187, 0.7433, 0.0209], [0.1813, 0.9791, 0.2567], [0.6813, 0.2567, 0.9791], [0.8187, 0.0209, 0.7433], [0.4184, 0.5673, 0.7667], [0.0816, 0.2333, 0.4327], [0.5816, 0.4327, 0.2333], [0.9184, 0.7667, 0.5673], [0.2500, 0.0986, 0.9014], [0.7500, 0.9014, 0.0986]],
  "e_tot_ev_per_atom": -4.58,
  "vol_a3_per_atom": 32.8,
  "ef_ev_per_atom": 0.094,
  "rho_g_cm3": 7.84,
  "space_group": "C2/c, No. 15"
}

No. 2
{
  "formula": "Tb2Nd7Sm2",
  "functional": "GGA-PBE",
  "state": "optimized geometry",
  "cell": [[7.1190, 3.5111, -3.5603], [2.2314, 7.6177, -3.5603], [-1.8025, -2.1453, 17.8293]],
  "species": ["Tb", "Tb", "Tb", "Tb", "Nd", "Nd", "Nd", "Nd", "Nd", "Nd", "Nd", "Nd", "Nd", "Nd", "Nd", "Nd", "Nd", "Nd", "Sm", "Sm", "Sm", "Sm"],
  "frac_coords": [[0.2656, 0.0987, 0.2045], [0.0987, 0.2656, 0.7045], [0.9013, 0.7344, 0.2955], [0.7344, 0.9013, 0.7955], [0.1889, 0.3574, 0.4310], [0.2775, 0.4468, 0.1592], [0.5377, 0.3686, 0.3857], [0.9183, 0.0817, 0.2500], [0.3574, 0.1889, 0.9310], [0.4468, 0.2775, 0.6592], [0.3686, 0.5377, 0.8857], [0.6314, 0.4623, 0.1143], [0.5532, 0.7225, 0.3408], [0.6426, 0.8111, 0.0690], [0.0817, 0.9183, 0.7500], [0.4623, 0.6314, 0.6143], [0.7225, 0.5532, 0.8408], [0.8111, 0.6426, 0.5690], [0.1729, 0.0066, 0.4776], [0.9934, 0.8271, 0.0224], [0.0066, 0.1729, 0.9776], [0.8271, 0.9934, 0.5224]],
  "e_tot_ev_per_atom": -4.70,
  "vol_a3_per_atom": 34.7,
  "ef_ev_per_atom": 0.030,
  "rho_g_cm3": 7.08,
  "space_group": "C2/c, No. 15"
}

No. 3
{
  "formula": "TbNd7Sm4",
  "functional": "GGA-PBE",
  "state": "optimized geometry",
  "cell": [[7.0490, 1.8901, 0.9191], [5.2547, 7.7951, 2.5306], [-1.0477, -0.4724, 9.0447]],
  "species": ["Tb", "Nd", "Nd", "Nd", "Nd", "Nd", "Nd", "Nd", "Sm", "Sm", "Sm", "Sm"],
  "frac_coords": [[0.0000, 0.0000, 0.0000], [0.7501, 0.5001, 0.0006], [0.2499, 0.4999, 0.9994], [0.9709, 0.2793, 0.6677], [0.0291, 0.7207, 0.3323], [0.2211, 0.7790, 0.6675], [0.5000, 0.0000, 0.0000], [0.7789, 0.2210, 0.3325], [0.5286, 0.7216, 0.3312], [0.4714, 0.2784, 0.6688], [0.7212, 0.7790, 0.6670], [0.2788, 0.2210, 0.3330]],
  "e_tot_ev_per_atom": -4.73,
  "vol_a3_per_atom": 34.6,
  "ef_ev_per_atom": 0.012,
  "rho_g_cm3": 7.07,
  "space_group": "P-1, No. 2"
}

No. 4
{
  "formula": "Tb4Nd11Sm9",
  "functional": "GGA-PBE",
  "state": "optimized geometry",
  "cell": [[3.7007, 0.0000, 0.0000], [0.0000, 14.3523, -6.1721], [0.0000, -0.0353, 15.6231]],
  "species": ["Tb", "Tb", "Tb", "Tb", "Nd", "Nd", "Nd", "Nd", "Nd", "Nd", "Nd", "Nd", "Nd", "Nd", "Nd", "Sm", "Sm", "Sm", "Sm", "Sm", "Sm", "Sm", "Sm", "Sm"],
  "frac_coords": [[0.5000, 0.5562, 0.7593], [0.5000, 0.4438, 0.2407], [0.5000, 0.7593, 0.5562], [0.5000, 0.2407, 0.4438], [0.0000, 0.5961, 0.9577], [0.0000, 0.4039, 0.0423], [0.0000, 0.9577, 0.5961], [0.0000, 0.0423, 0.4039], [0.0000, 0.6311, 0.3689], [0.0000, 0.3689, 0.6311], [0.0000, 0.8383, 0.1617], [0.0000, 0.1617, 0.8383], [0.0000, 0.0000, 0.0000], [0.0000, 0.7091, 0.7091], [0.0000, 0.2909, 0.2909], [0.5000, 0.6296, 0.1652], [0.5000, 0.3704, 0.8348], [0.5000, 0.1652, 0.6296], [0.5000, 0.8348, 0.3704], [0.5000, 0.7872, 0.9347], [0.5000, 0.2128, 0.0653], [0.5000, 0.9347, 0.7872], [0.5000, 0.0653, 0.2128], [0.5000, 0.5000, 0.5000]],
  "e_tot_ev_per_atom": -4.67,
  "vol_a3_per_atom": 34.5,
  "ef_ev_per_atom": 0.056,
  "rho_g_cm3": 7.16,
  "space_group": "Cmmm, No. 65"
}

No. 5
{
  "formula": "Tb5Nd2Sm12",
  "functional": "GGA-PBE",
  "state": "optimized geometry",
  "cell": [[-7.3708, -0.8131, 6.9420], [1.4441, -6.6008, -6.6716], [4.9683, -3.8871, 4.8198]],
  "species": ["Tb", "Tb", "Tb", "Tb", "Tb", "Nd", "Nd", "Sm", "Sm", "Sm", "Sm", "Sm", "Sm", "Sm", "Sm", "Sm", "Sm", "Sm", "Sm"],
  "frac_coords": [[0.2467, 0.4935, 0.5099], [0.3527, 0.7055, 0.0825], [0.0000, 0.0000, 0.5000], [0.6473, 0.2945, 0.9175], [0.7533, 0.5065, 0.4901], [0.7756, 0.0000, 0.0000], [0.2244, 0.0000, 0.0000], [0.8413, 0.6825, 0.1214], [0.0391, 0.6128, 0.7945], [0.5737, 0.6128, 0.7945], [0.1685, 0.7887, 0.3903], [0.6202, 0.7887, 0.3903], [0.4486, 0.8973, 0.7098], [0.5514, 0.1027, 0.2902], [0.8315, 0.2113, 0.6097], [0.3798, 0.2113, 0.6097], [0.9609, 0.3872, 0.2055], [0.4263, 0.3872, 0.2055], [0.1587, 0.3175, 0.8786]],
  "e_tot_ev_per_atom": -4.58,
  "vol_a3_per_atom": 34.1,
  "ef_ev_per_atom": 0.125,
  "rho_g_cm3": 7.41,
  "space_group": "C2/m, No. 12"
}

No. 6
{
  "formula": "Tb4Nd7Sm",
  "functional": "GGA-PBE",
  "state": "optimized geometry",
  "cell": [[7.0269, 1.8793, 0.8993], [5.2472, 7.7719, 2.4975], [-1.0252, -0.4538, 8.9804]],
  "species": ["Tb", "Tb", "Tb", "Tb", "Nd", "Nd", "Nd", "Nd", "Nd", "Nd", "Nd", "Sm"],
  "frac_coords": [[0.5308, 0.7218, 0.3329], [0.4692, 0.2782, 0.6671], [0.7191, 0.7807, 0.6657], [0.2809, 0.2193, 0.3343], [0.7524, 0.5000, 0.0011], [0.2476, 0.5000, 0.9989], [0.9711, 0.2801, 0.6651], [0.0289, 0.7199, 0.3349], [0.2214, 0.7781, 0.6661], [0.5000, 0.0000, 0.0000], [0.7786, 0.2219, 0.3339], [0.0000, 0.0000, 0.0000]],
  "e_tot_ev_per_atom": -4.71,
  "vol_a3_per_atom": 34.2,
  "ef_ev_per_atom": 0.008,
  "rho_g_cm3": 7.27,
  "space_group": "P-1, No. 2"
}